The following is a DFT calculation (meta-GGA SCAN) of SrHg2Pt at its PBEsol-relaxed geometry.

```
SrHg2Pt
1.0
4.0278 0.0000 0.0000
0.0000 2.1439 5.6894
0.0000 -2.1439 5.6894
Sr Hg Pt
1 2 1
Direct
0.0000 0.0000 0.0000 Sr
0.0000 0.7233 0.7233 Hg
0.5000 0.3135 0.3135 Hg
0.5000 0.5573 0.5573 Pt
```

For the formation energy, the calculation gives -0.491 eV per atom. Its electronic total energy is -57.691 eV/atom. Its magnetization is 0.00 Bohr magnetons per cell. As for the crystal system: orthorhombic. The density of states at the Fermi level comes out at 0.206 states/eV/atom. The space group is Amm2 (38).